(1)
Below is a relaxed structure of Nd4Ir6O19, with properties calculated at the PBE-GGA level.

Geometry as POSCAR:
```
Nd4Ir6O19
1.0
7.398 0.000 -2.616
-3.699 6.407 -2.616
0.000 0.000 7.847
Nd O Ir
4 19 6
direct
0.311 0.311 0.311
0.000 0.000 0.689
0.689 0.000 0.000
0.000 0.689 0.000
0.738 0.037 0.343
0.694 0.394 0.657
0.300 0.262 0.606
0.262 0.606 0.300
0.394 0.657 0.694
0.000 0.000 0.000
0.660 0.000 0.660
0.660 0.660 0.000
0.700 0.306 0.963
0.963 0.700 0.306
0.306 0.963 0.700
0.340 0.340 0.000
0.657 0.694 0.394
0.000 0.340 0.340
0.000 0.660 0.660
0.343 0.738 0.037
0.340 0.000 0.340
0.037 0.343 0.738
0.606 0.300 0.262
0.840 0.340 0.500
0.160 0.660 0.500
0.660 0.500 0.160
0.500 0.840 0.340
0.500 0.160 0.660
0.340 0.500 0.840
```

Computed properties:
Density of states at the Fermi level   23.13 states/eV/f.u.
Formation energy without anion corrections   -4545 kJ/mol of formula units
Symmetry   I23 (197)
Calculated volume   372 Å³/cell

(2)
Below is a relaxed structure of NdIr2O8, with properties calculated at the PBE-GGA level.

Geometry as POSCAR:
```
NdIr2O8
1.0
-0.976 -4.486 -2.641
5.111 -0.726 -3.086
4.183 -3.677 2.270
O Ir Nd
8 2 1
direct
0.737 0.847 0.847
0.701 0.383 0.917
0.299 0.617 0.083
0.682 0.380 0.380
0.318 0.620 0.620
0.701 0.917 0.383
0.299 0.083 0.617
0.263 0.153 0.153
0.498 0.258 0.258
0.502 0.742 0.742
0.000 0.000 0.000
```

Computed properties:
Density of states at the Fermi level   5.85 states/eV/f.u.
Formation energy without anion corrections   -1153 kJ/mol of formula units
Symmetry   C2/m (12)
Calculated volume   164 Å³/cell

(3)
Below is a relaxed structure of Nd5Ir2O12, with properties calculated at the PBE-GGA level.

Geometry as POSCAR:
```
Nd5Ir2O12
1.0
-4.493 2.627 -3.356
-0.897 -6.863 1.544
-2.367 3.725 6.083
O Nd Ir
12 5 2
direct
0.000 0.999 0.167
0.096 0.695 0.425
0.400 0.305 0.575
0.499 0.998 0.173
0.898 0.326 0.083
0.904 0.305 0.575
0.000 0.001 0.833
0.571 0.674 0.917
0.429 0.326 0.083
0.501 0.002 0.827
0.600 0.695 0.425
0.102 0.674 0.917
0.303 0.606 0.641
0.305 0.610 0.164
0.000 0.000 0.500
0.697 0.394 0.359
0.695 0.390 0.836
0.753 0.000 0.000
0.247 0.000 0.000
```

Computed properties:
Density of states at the Fermi level   5.73 states/eV/f.u.
Formation energy without anion corrections   -4624 kJ/mol of formula units
Symmetry   C2/m (12)
Calculated volume   284 Å³/cell

(4)
Below is a relaxed structure of Nd3IrO7, with properties calculated at the PBE-GGA level.

Geometry as POSCAR:
```
Nd3IrO7
1.0
6.653 -0.001 0.000
-2.396 6.207 0.000
0.000 0.000 7.602
O Nd Ir
14 6 2
direct
0.413 0.413 0.250
0.156 0.892 0.250
0.587 0.587 0.750
0.813 0.561 0.462
0.439 0.187 0.962
0.561 0.813 0.038
0.187 0.439 0.538
0.561 0.813 0.462
0.892 0.156 0.250
0.844 0.108 0.750
0.813 0.561 0.038
0.187 0.439 0.962
0.108 0.844 0.750
0.439 0.187 0.538
0.525 0.080 0.250
0.475 0.920 0.750
0.000 0.000 0.000
0.920 0.475 0.750
0.080 0.525 0.250
0.000 0.000 0.500
0.500 0.500 0.500
0.500 0.500 0.000
```

Computed properties:
Density of states at the Fermi level   4.53 states/eV/f.u.
Formation energy without anion corrections   -2709 kJ/mol of formula units
Symmetry   Cmcm (63)
Calculated volume   314 Å³/cell

Q: Among the records above, which one has the highest calculated volume?
A: Nd4Ir6O19